# 1
The following is a PBE calculation of ReMoP2Cl after structural relaxation, from Alexandria via LeMat-Bulk.

The structure in extended XYZ format:
```
5
Lattice="4.553 0.000 0.000 0.000 4.553 0.000 0.000 0.000 5.135" Properties=species:S:1:pos:R:3 pbc="T T T"
Re 0.000 0.000 0.000
Mo 2.277 2.277 2.568
P 0.000 2.277 0.000
P 2.277 0.000 0.000
Cl 0.000 0.000 2.568
```

The formation energy without anion corrections is 1.01 eV/atom.

---

# 2
The following is a PBE calculation of Pr5Nd5Th2 after structural relaxation, from Alexandria via LeMat-Bulk.

The structure in extended XYZ format:
```
12
Lattice="6.373 0.000 0.000 -2.113 7.944 0.000 -0.041 -3.392 8.344" Properties=species:S:1:pos:R:3 pbc="T T T"
Pr 0.000 0.000 0.000
Pr -1.071 3.929 4.849
Pr 1.029 -0.507 6.315
Pr 3.189 5.059 2.029
Pr 5.289 0.623 3.495
Nd -0.005 6.766 2.767
Nd 1.018 2.787 7.659
Nd 2.109 2.276 4.172
Nd 3.200 1.765 0.685
Nd 4.223 -2.214 5.578
Th -0.043 3.426 1.359
Th 4.261 1.126 6.986
```

The value obtained for the formation energy from the elements is 0.04 eV per atom.

---

Question: Number 1 is which compound?
Answer: ReMoP2Cl